w | ! SrAuF3 | Alexandria via LeMat-Bulk | GGA-PBE | optimized geometry; values from VASP
! Space group: Pm-3m, No. 221
&SYSTEM
  ibrav = 0, nat = 5, ntyp = 3
/
ATOMIC_SPECIES
Sr 87.62 Sr.upf
Au 196.97 Au.upf
F 19.00 F.upf
CELL_PARAMETERS angstrom
4.705 0.000 0.000
0.000 4.705 0.000
0.000 0.000 4.705
ATOMIC_POSITIONS crystal
Sr 0.000 0.000 0.000
Au 0.500 0.500 0.500
F 0.000 0.000 0.500
F 0.000 0.500 0.000
F 0.500 0.000 0.000

---

x | ! SrAuF3 | Alexandria via LeMat-Bulk | GGA-PBE | optimized geometry; values from VASP
! Space group: Pm-3m, No. 221
&SYSTEM
  ibrav = 0, nat = 5, ntyp = 3
/
ATOMIC_SPECIES
Sr 87.62 Sr.upf
Au 196.97 Au.upf
F 19.00 F.upf
CELL_PARAMETERS angstrom
4.610 0.000 0.000
0.000 4.610 0.000
0.000 0.000 4.610
ATOMIC_POSITIONS crystal
Sr 0.000 0.000 0.000
Au 0.500 0.500 0.500
F 0.000 0.500 0.500
F 0.500 0.000 0.500
F 0.500 0.500 0.000

---

What is the stability order? It is w, x, from most stable to least stable.

---

w | ! SrAu2F | Alexandria via LeMat-Bulk | GGA-PBE | optimized geometry; values from VASP
! Space group: Fm-3m, No. 225
&SYSTEM
  ibrav = 0, nat = 4, ntyp = 3
/
ATOMIC_SPECIES
Sr 87.62 Sr.upf
Au 196.97 Au.upf
F 19.00 F.upf
CELL_PARAMETERS angstrom
0.000 3.574 3.574
3.574 0.000 3.574
3.574 3.574 0.000
ATOMIC_POSITIONS crystal
Sr 0.000 0.000 0.000
Au 0.250 0.250 0.250
Au 0.750 0.750 0.750
F 0.500 0.500 0.500

---

x | ! SrAu2F | Alexandria via LeMat-Bulk | GGA-PBE | optimized geometry; values from VASP
! Space group: I-42d, No. 122
&SYSTEM
  ibrav = 0, nat = 8, ntyp = 3
/
ATOMIC_SPECIES
Sr 87.62 Sr.upf
Au 196.97 Au.upf
F 19.00 F.upf
CELL_PARAMETERS angstrom
-1.898 1.898 12.048
1.898 -1.898 12.048
1.898 1.898 -12.048
ATOMIC_POSITIONS crystal
Sr 0.000 0.000 0.000
Sr 0.750 0.250 0.500
Au 0.126 0.625 0.001
Au 0.375 0.376 0.501
Au 0.624 0.125 0.999
Au 0.875 0.874 0.499
F 0.250 0.750 0.500
F 0.500 0.500 0.000

---

What is the stability order? It is x, w, from most stable to least stable.

---

w | ! TaAu2F | Alexandria via LeMat-Bulk | GGA-PBE | optimized geometry; values from VASP
! Space group: I-42d, No. 122
&SYSTEM
  ibrav = 0, nat = 8, ntyp = 3
/
ATOMIC_SPECIES
Ta 180.95 Ta.upf
Au 196.97 Au.upf
F 19.00 F.upf
CELL_PARAMETERS angstrom
-3.675 3.675 2.589
3.675 -3.675 2.589
3.675 3.675 -2.589
ATOMIC_POSITIONS crystal
Ta 0.000 0.000 0.000
Ta 0.750 0.250 0.500
Au 0.135 0.625 0.010
Au 0.375 0.385 0.510
Au 0.615 0.125 0.990
Au 0.875 0.865 0.490
F 0.250 0.750 0.500
F 0.500 0.500 0.000

---

x | ! TaAu2F | Alexandria via LeMat-Bulk | GGA-PBE | optimized geometry; values from VASP
! Space group: Fm-3m, No. 225
&SYSTEM
  ibrav = 0, nat = 4, ntyp = 3
/
ATOMIC_SPECIES
Ta 180.95 Ta.upf
Au 196.97 Au.upf
F 19.00 F.upf
CELL_PARAMETERS angstrom
0.000 3.219 3.219
3.219 0.000 3.219
3.219 3.219 0.000
ATOMIC_POSITIONS crystal
Ta 0.000 0.000 0.000
Au 0.250 0.250 0.250
Au 0.750 0.750 0.750
F 0.500 0.500 0.500

---

What is the stability order? It is w, x, from most stable to least stable.

---

w | ! TaAuF3 | Alexandria via LeMat-Bulk | GGA-PBE | optimized geometry; values from VASP
! Space group: Pm-3m, No. 221
&SYSTEM
  ibrav = 0, nat = 5, ntyp = 3
/
ATOMIC_SPECIES
Ta 180.95 Ta.upf
Au 196.97 Au.upf
F 19.00 F.upf
CELL_PARAMETERS angstrom
4.463 0.000 0.000
0.000 4.463 0.000
0.000 0.000 4.463
ATOMIC_POSITIONS crystal
Ta 0.000 0.000 0.000
Au 0.500 0.500 0.500
F 0.000 0.500 0.500
F 0.500 0.000 0.500
F 0.500 0.500 0.000

---

x | ! TaAuF3 | Alexandria via LeMat-Bulk | GGA-PBE | optimized geometry; values from VASP
! Space group: Pm-3m, No. 221
&SYSTEM
  ibrav = 0, nat = 5, ntyp = 3
/
ATOMIC_SPECIES
Ta 180.95 Ta.upf
Au 196.97 Au.upf
F 19.00 F.upf
CELL_PARAMETERS angstrom
4.208 0.000 0.000
0.000 4.208 0.000
0.000 0.000 4.208
ATOMIC_POSITIONS crystal
Ta 0.000 0.000 0.000
Au 0.500 0.500 0.500
F 0.000 0.000 0.500
F 0.000 0.500 0.000
F 0.500 0.000 0.000

---

What is the stability order? It is x, w, from most stable to least stable.

---

w | ! TaAu3F | Alexandria via LeMat-Bulk | GGA-PBE | optimized geometry; values from VASP
! Space group: Pm-3m, No. 221
&SYSTEM
  ibrav = 0, nat = 5, ntyp = 3
/
ATOMIC_SPECIES
Ta 180.95 Ta.upf
Au 196.97 Au.upf
F 19.00 F.upf
CELL_PARAMETERS angstrom
4.543 0.000 0.000
0.000 4.543 0.000
0.000 0.000 4.543
ATOMIC_POSITIONS crystal
Ta 0.000 0.000 0.000
Au 0.000 0.500 0.500
Au 0.500 0.000 0.500
Au 0.500 0.500 0.000
F 0.500 0.500 0.500

---

x | ! TaAu3F | Alexandria via LeMat-Bulk | GGA-PBE | optimized geometry; values from VASP
! Space group: Pm-3m, No. 221
&SYSTEM
  ibrav = 0, nat = 5, ntyp = 3
/
ATOMIC_SPECIES
Ta 180.95 Ta.upf
Au 196.97 Au.upf
F 19.00 F.upf
CELL_PARAMETERS angstrom
5.144 0.000 0.000
0.000 5.144 0.000
0.000 0.000 5.144
ATOMIC_POSITIONS crystal
Ta 0.000 0.000 0.000
Au 0.000 0.000 0.500
Au 0.000 0.500 0.000
Au 0.500 0.000 0.000
F 0.500 0.500 0.500

---

What is the stability order? It is w, x, from most stable to least stable.

---

w | ! TcAu2F | Alexandria via LeMat-Bulk | GGA-PBE | optimized geometry; values from VASP
! Space group: I-42d, No. 122
&SYSTEM
  ibrav = 0, nat = 8, ntyp = 3
/
ATOMIC_SPECIES
Tc 98.00 Tc.upf
Au 196.97 Au.upf
F 19.00 F.upf
CELL_PARAMETERS angstrom
-3.631 3.631 2.669
3.631 -3.631 2.669
3.631 3.631 -2.669
ATOMIC_POSITIONS crystal
Tc 0.000 0.000 0.000
Tc 0.750 0.250 0.500
Au 0.143 0.125 0.518
Au 0.375 0.857 0.982
Au 0.607 0.625 0.482
Au 0.875 0.393 0.018
F 0.250 0.750 0.500
F 0.500 0.500 0.000

---

x | ! TcAu2F | Alexandria via LeMat-Bulk | GGA-PBE | optimized geometry; values from VASP
! Space group: Fm-3m, No. 225
&SYSTEM
  ibrav = 0, nat = 4, ntyp = 3
/
ATOMIC_SPECIES
Tc 98.00 Tc.upf
Au 196.97 Au.upf
F 19.00 F.upf
CELL_PARAMETERS angstrom
0.000 3.217 3.217
3.217 0.000 3.217
3.217 3.217 0.000
ATOMIC_POSITIONS crystal
Tc 0.000 0.000 0.000
Au 0.250 0.250 0.250
Au 0.750 0.750 0.750
F 0.500 0.500 0.500

---

What is the stability order? It is w, x, from most stable to least stable.